1.
A plane-wave DFT calculation with PBE-GGA was carried out for Tb3SmTh2 after structural relaxation. Values from VASP.

Results
Formation enthalpy at 0 K ... 0.09 eV per atom
SG ... P2_1/m (11)

The structure in Quantum ESPRESSO input format:
```
&SYSTEM
  ibrav = 0, nat = 12, ntyp = 3
/
ATOMIC_SPECIES
Tb 158.93 Tb.upf
Sm 150.36 Sm.upf
Th 232.04 Th.upf
CELL_PARAMETERS angstrom
9.667 0.000 0.000
0.000 3.519 0.000
-0.755 0.000 11.518
ATOMIC_POSITIONS crystal
Tb 0.075 0.250 0.123
Tb 0.238 0.250 0.861
Tb 0.399 0.250 0.608
Tb 0.601 0.750 0.392
Tb 0.762 0.750 0.139
Tb 0.925 0.750 0.877
Sm 0.241 0.750 0.358
Sm 0.759 0.250 0.642
Th 0.081 0.750 0.621
Th 0.441 0.250 0.125
Th 0.559 0.750 0.875
Th 0.919 0.250 0.379
```

***

2.
A plane-wave DFT calculation with PBE-GGA was carried out for Tb2Sm3Th2 after structural relaxation. Values from VASP.

Results
Formation enthalpy at 0 K ... 0.07 eV per atom
SG ... Cmmm (65)

The structure in Quantum ESPRESSO input format:
```
&SYSTEM
  ibrav = 0, nat = 14, ntyp = 3
/
ATOMIC_SPECIES
Tb 158.93 Tb.upf
Sm 150.36 Sm.upf
Th 232.04 Th.upf
CELL_PARAMETERS angstrom
5.822 0.000 0.000
0.000 22.496 0.000
0.000 0.000 3.553
ATOMIC_POSITIONS crystal
Tb 0.000 0.072 0.000
Tb 0.000 0.928 0.000
Tb 0.500 0.428 0.000
Tb 0.500 0.572 0.000
Sm 0.000 0.346 0.000
Sm 0.000 0.500 0.500
Sm 0.000 0.654 0.000
Sm 0.500 0.000 0.500
Sm 0.500 0.154 0.000
Sm 0.500 0.846 0.000
Th 0.000 0.205 0.500
Th 0.000 0.795 0.500
Th 0.500 0.295 0.500
Th 0.500 0.705 0.500
```

***

3.
A plane-wave DFT calculation with PBE-GGA was carried out for Tb10Sm4Th after structural relaxation. Values from VASP.

Results
Formation enthalpy at 0 K ... 0.24 eV per atom
SG ... I4/mmm (139)

The structure in Quantum ESPRESSO input format:
```
&SYSTEM
  ibrav = 0, nat = 15, ntyp = 3
/
ATOMIC_SPECIES
Tb 158.93 Tb.upf
Sm 150.36 Sm.upf
Th 232.04 Th.upf
CELL_PARAMETERS angstrom
-5.610 5.610 4.055
5.610 -5.610 4.055
5.610 5.610 -4.055
ATOMIC_POSITIONS crystal
Tb 0.003 0.796 0.207
Tb 0.204 0.412 0.207
Tb 0.204 0.997 0.793
Tb 0.250 0.750 0.500
Tb 0.412 0.204 0.207
Tb 0.588 0.796 0.793
Tb 0.750 0.250 0.500
Tb 0.796 0.003 0.207
Tb 0.796 0.588 0.793
Tb 0.997 0.204 0.793
Sm 0.275 0.275 0.550
Sm 0.275 0.725 0.000
Sm 0.725 0.275 0.000
Sm 0.725 0.725 0.450
Th 0.500 0.500 0.000
```

***

4.
A plane-wave DFT calculation with PBE-GGA was carried out for TbSm4Th3 after structural relaxation. Values from VASP.

Results
Formation enthalpy at 0 K ... 0.04 eV per atom
SG ... Pmmn (59)

The structure in Quantum ESPRESSO input format:
```
&SYSTEM
  ibrav = 0, nat = 16, ntyp = 3
/
ATOMIC_SPECIES
Tb 158.93 Tb.upf
Sm 150.36 Sm.upf
Th 232.04 Th.upf
CELL_PARAMETERS angstrom
5.077 0.000 0.000
0.000 10.170 0.000
0.000 0.000 10.238
ATOMIC_POSITIONS crystal
Tb 0.250 0.250 0.120
Tb 0.750 0.750 0.880
Sm 0.250 0.250 0.635
Sm 0.250 0.501 0.369
Sm 0.250 0.750 0.628
Sm 0.250 0.999 0.369
Sm 0.750 0.001 0.631
Sm 0.750 0.250 0.372
Sm 0.750 0.499 0.631
Sm 0.750 0.750 0.365
Th 0.250 0.002 0.880
Th 0.250 0.498 0.880
Th 0.250 0.750 0.121
Th 0.750 0.250 0.879
Th 0.750 0.502 0.120
Th 0.750 0.998 0.120
```

***

5.
A plane-wave DFT calculation with PBE-GGA was carried out for Tb3Sm2Th2 after structural relaxation. Values from VASP.

Results
Formation enthalpy at 0 K ... 0.03 eV per atom
SG ... C2/m (12)

The structure in Quantum ESPRESSO input format:
```
&SYSTEM
  ibrav = 0, nat = 14, ntyp = 3
/
ATOMIC_SPECIES
Tb 158.93 Tb.upf
Sm 150.36 Sm.upf
Th 232.04 Th.upf
CELL_PARAMETERS angstrom
15.582 0.000 0.000
0.000 3.601 0.000
-3.201 0.000 8.153
ATOMIC_POSITIONS crystal
Tb 0.000 0.000 0.000
Tb 0.138 0.000 0.434
Tb 0.362 0.500 0.566
Tb 0.500 0.500 0.000
Tb 0.638 0.500 0.434
Tb 0.862 0.000 0.566
Sm 0.217 0.500 0.142
Sm 0.283 0.000 0.858
Sm 0.717 0.000 0.142
Sm 0.783 0.500 0.858
Th 0.070 0.500 0.712
Th 0.430 0.000 0.288
Th 0.570 0.000 0.712
Th 0.930 0.500 0.288
```

***

6.
A plane-wave DFT calculation with PBE-GGA was carried out for Tb4Sm7Th after structural relaxation. Values from VASP.

Results
Formation enthalpy at 0 K ... 0.01 eV per atom
SG ... P-1 (2)

The structure in Quantum ESPRESSO input format:
```
&SYSTEM
  ibrav = 0, nat = 12, ntyp = 3
/
ATOMIC_SPECIES
Tb 158.93 Tb.upf
Sm 150.36 Sm.upf
Th 232.04 Th.upf
CELL_PARAMETERS angstrom
6.292 0.000 0.000
-0.004 7.259 0.000
-2.127 -0.008 8.724
ATOMIC_POSITIONS crystal
Tb 0.220 0.000 0.163
Tb 0.276 0.749 0.830
Tb 0.724 0.251 0.170
Tb 0.780 0.000 0.837
Sm 0.000 0.000 0.500
Sm 0.218 0.500 0.170
Sm 0.276 0.252 0.831
Sm 0.500 0.254 0.500
Sm 0.500 0.746 0.500
Sm 0.724 0.748 0.169
Sm 0.782 0.500 0.830
Th 0.000 0.500 0.500
```

***

7.
A plane-wave DFT calculation with PBE-GGA was carried out for Tb5Sm5Th2 after structural relaxation. Values from VASP.

Results
Formation enthalpy at 0 K ... 0.03 eV per atom
SG ... P-1 (2)

The structure in Quantum ESPRESSO input format:
```
&SYSTEM
  ibrav = 0, nat = 12, ntyp = 3
/
ATOMIC_SPECIES
Tb 158.93 Tb.upf
Sm 150.36 Sm.upf
Th 232.04 Th.upf
CELL_PARAMETERS angstrom
6.217 0.000 0.000
-2.065 7.767 0.000
-0.008 -3.312 8.166
ATOMIC_POSITIONS crystal
Tb 0.000 0.000 0.000
Tb 0.088 0.755 0.583
Tb 0.168 0.505 0.168
Tb 0.832 0.495 0.832
Tb 0.912 0.245 0.417
Sm 0.250 0.244 0.746
Sm 0.418 0.756 0.918
Sm 0.500 0.500 0.500
Sm 0.582 0.244 0.082
Sm 0.750 0.756 0.254
Th 0.336 0.999 0.336
Th 0.664 0.001 0.664
```

***

8.
A plane-wave DFT calculation with PBE-GGA was carried out for Tb5Sm6Th2 after structural relaxation. Values from VASP.

Results
Formation enthalpy at 0 K ... 0.12 eV per atom
SG ... Pbam (55)

The structure in Quantum ESPRESSO input format:
```
&SYSTEM
  ibrav = 0, nat = 26, ntyp = 3
/
ATOMIC_SPECIES
Tb 158.93 Tb.upf
Sm 150.36 Sm.upf
Th 232.04 Th.upf
CELL_PARAMETERS angstrom
11.593 0.000 0.000
0.000 20.892 0.000
0.000 0.000 3.604
ATOMIC_POSITIONS crystal
Tb 0.000 0.000 0.000
Tb 0.067 0.293 0.000
Tb 0.187 0.580 0.000
Tb 0.313 0.080 0.000
Tb 0.433 0.793 0.000
Tb 0.500 0.500 0.000
Tb 0.567 0.207 0.000
Tb 0.687 0.920 0.000
Tb 0.813 0.420 0.000
Tb 0.933 0.707 0.000
Sm 0.067 0.146 0.500
Sm 0.081 0.437 0.500
Sm 0.183 0.876 0.000
Sm 0.317 0.376 0.000
Sm 0.419 0.937 0.500
Sm 0.433 0.646 0.500
Sm 0.567 0.354 0.500
Sm 0.581 0.063 0.500
Sm 0.683 0.624 0.000
Sm 0.817 0.124 0.000
Sm 0.919 0.563 0.500
Sm 0.933 0.854 0.500
Th 0.189 0.733 0.500
Th 0.311 0.233 0.500
Th 0.689 0.767 0.500
Th 0.811 0.267 0.500
```

***

Size of the total moment per entry: 0.00 0.00 0.00 0.00 0.00 0.00 0.00 0.00 μB per formula unit